Record 1
Hf3IrRh: optimized geometry, PBE-GGA.

POSCAR file:
```
Hf3IrRh
1.0
4.947 0.000 0.000
0.000 4.947 0.000
0.000 0.000 4.947
Hf Ir Rh
3 1 1
Direct
0.000 0.000 0.500 Hf
0.000 0.500 0.000 Hf
0.500 0.000 0.000 Hf
0.000 0.000 0.000 Ir
0.500 0.500 0.500 Rh
```

Values from the calculation:
For the formation energy, the calculation gives 0.3527 eV per atom. For the theoretical density, the calculation gives 11.4 Mg/m³.

---

Record 2
Pr4Ho3Tm: optimized geometry, PBE-GGA.

POSCAR file:
```
Pr4Ho3Tm
1.0
2.850 -13.007 0.000
2.850 13.007 0.000
0.000 0.000 3.682
Pr Ho Tm
4 3 1
Direct
0.101 0.899 0.000 Pr
0.222 0.778 0.000 Pr
0.778 0.222 0.000 Pr
0.899 0.101 0.000 Pr
0.352 0.648 0.500 Ho
0.500 0.500 0.000 Ho
0.648 0.352 0.500 Ho
0.000 0.000 0.500 Tm
```

Values from the calculation:
For the formation energy, the calculation gives 0.1842 eV per atom. For the theoretical density, the calculation gives 7.5 Mg/m³.